Entry A
First-principles (PBE) data for a relaxed Cu5Ag4 crystal, as listed in OQMD.

It has space group Cm (No. 8), with a = 14.083 Å, b = 2.774 Å, c = 6.687 Å, α = 90.00°, β = 92.89° and γ = 90.00°. Symmetry generates all atoms from Cu at (0.000, 0.000, 0.000), Cu at (0.055, 0.500, 0.310), Cu at (0.282, 0.500, 0.700), Cu at (0.345, 0.000, 0.006), Cu at (0.405, 0.500, 0.310), Ag at (0.114, 0.000, 0.646), Ag at (0.170, 0.500, 0.006), Ag at (0.243, 0.000, 0.351) and Ag at (0.440, 0.000, 0.658).

Entry B
First-principles (PBE) data for a relaxed Cu5Ag4 crystal, as listed in OQMD.

It has space group C2/m (No. 12), with a = 8.777 Å, b = 3.825 Å, c = 8.253 Å, α = 90.00°, β = 108.45° and γ = 90.00°. Symmetry generates all atoms from Cu at (0.000, 0.000, 0.000), Cu at (0.003, 0.000, 0.325), Cu at (0.162, 0.500, 0.220), Ag at (0.160, 0.500, 0.889) and Ag at (0.165, 0.500, 0.556).

Entry C
First-principles (PBE) data for a relaxed Cu5Ag4 crystal, as listed in OQMD.

It has space group I4/mmm (No. 139), with a = 2.809 Å, b = 2.809 Å, c = 33.090 Å, α = 90.00°, β = 90.00° and γ = 90.00°. Symmetry generates all atoms from Cu at (0.000, 0.000, 0.000), Cu at (0.000, 0.000, 0.227), Cu at (0.000, 0.000, 0.320), Ag at (0.000, 0.000, 0.123) and Ag at (0.000, 0.000, 0.443).

The most stable arrangement is entry C, and the next structure is 0.031 eV/atom less stable.